A relaxed structure of UGeP2. Source: Alexandria, functional PBE.

```
UGeP2
1.0
1.6175 0.9339 8.7411
-1.6175 0.9339 8.7411
0.0000 -1.8677 8.7411
U Ge P
1 1 2
Cartesian
0.0000 0.0000 0.0000
0.0000 0.0000 13.1116
0.0000 0.0000 2.7650
0.0000 0.0000 23.4582
```

The calculation puts the energy relative to the lowest polymorph listed for this composition at 910.7 meV per atom. The calculation puts the formation energy at 0.432 eV per atom. The calculation puts the energy at -0.4593 Ry per atom. For the total moment, the calculation gives 2.422 Bohr magnetons per cell. Its density of states at the Fermi level is 1.71 states/eV per atom.

A relaxed structure of V4Ge2P. Source: Alexandria, functional PBE.

```
V4Ge2P
1.0
-2.1112 2.1112 6.5547
2.1112 -2.1112 6.5547
2.1112 2.1112 -6.5547
V Ge P
4 2 1
Cartesian
2.1112 0.0000 0.0000
0.0000 0.0000 2.2771
0.0000 2.1112 0.0000
0.0000 0.0000 10.8324
0.0000 0.0000 4.7865
0.0000 0.0000 8.3229
0.0000 0.0000 0.0000
```

The calculation puts the energy relative to the lowest polymorph listed for this composition at 438.4 meV per atom. The calculation puts the formation energy at 0.141 eV per atom. The calculation puts the energy at -0.5264 Ry per atom. For the total moment, the calculation gives 4.397 Bohr magnetons per cell. Its density of states at the Fermi level is 0.81 states/eV per atom.

Which value of energy does entry 2 give?
-0.5264 Ry per atom